1.
This record from the Alexandria database describes a relaxed Ni2HAu crystal. The functional is PBE.

Values from the calculation:
E above lowest polymorph: 49 meV/atom
uncorrected energy: -35.4 eV/cell

Cell and atoms, written as POSCAR:
```
Ni2HAu
1.0
-2.673 2.673 3.106
2.673 -2.673 3.106
2.673 2.673 -3.106
Ni H Au
4 2 2
Direct
0.375 0.031 0.156
0.781 0.625 0.656
0.875 0.219 0.844
0.969 0.125 0.344
0.000 0.000 0.000
0.750 0.250 0.500
0.250 0.750 0.500
0.500 0.500 0.000
```


2.
This record from the Alexandria database describes a relaxed NpNi4H6Au crystal. The functional is PBE.

Values from the calculation:
uncorrected energy: -61.1 eV/cell

Cell and atoms, written as POSCAR:
```
NpNi4H6Au
1.0
4.353 0.000 0.000
-2.177 3.770 0.000
0.000 0.000 6.485
Np Ni H Au
1 4 6 1
Direct
0.000 0.000 0.000
0.333 0.667 0.311
0.333 0.667 0.689
0.667 0.333 0.311
0.667 0.333 0.689
0.000 0.500 0.154
0.000 0.500 0.846
0.500 0.000 0.154
0.500 0.000 0.846
0.500 0.500 0.154
0.500 0.500 0.846
0.000 0.000 0.500
```


3.
This record from the Alexandria database describes a relaxed Ni2HPbAu crystal. The functional is PBE.

Values from the calculation:
uncorrected energy: -20.7 eV/cell

Cell and atoms, written as POSCAR:
```
Ni2HPbAu
1.0
4.146 0.000 0.000
0.000 4.146 0.000
0.000 0.000 3.907
Ni H Pb Au
2 1 1 1
Direct
0.000 0.500 0.000
0.500 0.000 0.000
0.000 0.000 0.000
0.500 0.500 0.500
0.000 0.000 0.500
```


4.
This record from the Alexandria database describes a relaxed Ni2HPdAu crystal. The functional is PBE.

Values from the calculation:
E above lowest polymorph: 103 meV/atom
uncorrected energy: -22.7 eV/cell

Cell and atoms, written as POSCAR:
```
Ni2HPdAu
1.0
3.853 0.000 0.000
0.000 3.853 0.000
0.000 0.000 3.922
Ni H Pd Au
2 1 1 1
Direct
0.000 0.500 0.000
0.500 0.000 0.000
0.000 0.000 0.000
0.500 0.500 0.500
0.000 0.000 0.500
```


5.
This record from the Alexandria database describes a relaxed NiHPd2Au crystal. The functional is PBE.

Values from the calculation:
E above lowest polymorph: 96 meV/atom
uncorrected energy: -22.4 eV/cell

Cell and atoms, written as POSCAR:
```
NiHPd2Au
1.0
3.943 0.000 0.000
0.000 3.943 0.000
0.000 0.000 4.096
Ni H Pd Au
1 1 2 1
Direct
0.000 0.000 0.000
0.500 0.500 0.500
0.000 0.500 0.500
0.500 0.000 0.500
0.500 0.500 0.000
```


6.
This record from the Alexandria database describes a relaxed NiHPd2Au crystal. The functional is PBE.

Values from the calculation:
E above lowest polymorph: 0 meV/atom
uncorrected energy: -22.9 eV/cell

Cell and atoms, written as POSCAR:
```
NiHPd2Au
1.0
4.005 0.000 0.000
0.000 4.005 0.000
0.000 0.000 3.905
Ni H Pd Au
1 1 2 1
Direct
0.000 0.000 0.000
0.000 0.000 0.500
0.000 0.500 0.500
0.500 0.000 0.500
0.500 0.500 0.000
```


7.
This record from the Alexandria database describes a relaxed Ni2HPdAu crystal. The functional is PBE.

Values from the calculation:
E above lowest polymorph: 0 meV/atom
uncorrected energy: -23.2 eV/cell

Cell and atoms, written as POSCAR:
```
Ni2HPdAu
1.0
3.899 0.000 0.000
0.000 3.899 0.000
0.000 0.000 3.805
Ni H Pd Au
2 1 1 1
Direct
0.000 0.500 0.000
0.500 0.000 0.000
0.000 0.000 0.000
0.000 0.000 0.500
0.500 0.500 0.500
```


8.
This record from the Alexandria database describes a relaxed PmNi4H6Au crystal. The functional is PBE.

Values from the calculation:
uncorrected energy: -54.5 eV/cell

Cell and atoms, written as POSCAR:
```
PmNi4H6Au
1.0
4.382 0.000 0.000
-2.191 3.795 0.000
0.000 0.000 6.580
Pm Ni H Au
1 4 6 1
Direct
0.000 0.000 0.000
0.333 0.667 0.314
0.333 0.667 0.686
0.667 0.333 0.314
0.667 0.333 0.686
0.000 0.500 0.165
0.000 0.500 0.835
0.500 0.000 0.165
0.500 0.000 0.835
0.500 0.500 0.165
0.500 0.500 0.835
0.000 0.000 0.500
```


Number 1: total magnetization 0.00 μB/cell. Number 2: total magnetization 4.16 μB/cell. Number 3: total magnetization 0.00 μB/cell. Number 4: total magnetization 0.90 μB/cell. Number 5: total magnetization 1.03 μB/cell. Number 6: total magnetization 0.69 μB/cell. Number 7: total magnetization 1.02 μB/cell. Number 8: total magnetization 0.00 μB/cell.